PrMgCo (PBE, relaxed); symmetry = Cmcm (63); formation enthalpy at 0 K = -0.076 eV per atom; uncorrected energy = -54.828 eV for the cell shown
1.0
4.088 0.000 0.000
0.000 17.410 0.000
0.000 0.000 3.926
Pr Mg Co
4 4 4
direct
0.000 0.092 0.250
0.000 0.908 0.750
0.500 0.408 0.750
0.500 0.592 0.250
0.000 0.297 0.250
0.000 0.703 0.750
0.500 0.203 0.750
0.500 0.797 0.250
0.000 0.466 0.250
0.000 0.534 0.750
0.500 0.034 0.750
0.500 0.966 0.250

Pr3MgCo (PBE, relaxed); symmetry = C2/m (12); formation enthalpy at 0 K = 0.025 eV per atom; uncorrected energy = -45.824 eV for the cell shown; energy above the lowest structure with this stoichiometry = 5.70 kJ per mole of atoms
1.0
9.500 -1.889 0.000
9.500 1.889 0.000
-0.113 0.000 8.187
Pr Mg Co
6 2 2
direct
0.037 0.037 0.197
0.174 0.174 0.909
0.401 0.401 0.429
0.599 0.599 0.571
0.826 0.826 0.091
0.963 0.963 0.803
0.218 0.218 0.352
0.782 0.782 0.648
0.437 0.437 0.088
0.563 0.563 0.912

Pr6MgCo2 (PBE, relaxed); symmetry = C2/m (12); formation enthalpy at 0 K = 0.007 eV per atom; uncorrected energy = -44.417 eV for the cell shown; energy above the lowest structure with this stoichiometry = 6.03 kJ per mole of atoms
1.0
6.129 -2.299 0.000
6.129 2.299 0.000
-0.615 0.000 9.325
Pr Mg Co
6 1 2
direct
0.104 0.104 0.367
0.293 0.293 0.884
0.385 0.385 0.324
0.615 0.615 0.676
0.707 0.707 0.116
0.896 0.896 0.633
0.000 0.000 0.000
0.254 0.254 0.599
0.746 0.746 0.401

Pr2MgCo2 (PBE, relaxed); symmetry = Cmmm (65); formation enthalpy at 0 K = -0.083 eV per atom; uncorrected energy = -51.557 eV for the cell shown
1.0
3.963 0.000 0.000
0.000 14.282 0.000
0.000 0.000 4.136
Pr Mg Co
4 2 4
direct
0.000 0.138 0.000
0.000 0.862 0.000
0.500 0.362 0.000
0.500 0.638 0.000
0.000 0.500 0.500
0.500 0.000 0.500
0.000 0.288 0.500
0.000 0.712 0.500
0.500 0.212 0.500
0.500 0.788 0.500

Pr8MgCo2 (PBE, relaxed); symmetry = C2/m (12); formation enthalpy at 0 K = 0.034 eV per atom; uncorrected energy = -53.670 eV for the cell shown; energy above the lowest structure with this stoichiometry = 0.00 kJ per mole of atoms
1.0
6.357 -4.156 0.000
6.357 4.156 0.000
-0.265 0.000 6.540
Pr Mg Co
8 1 2
direct
0.064 0.632 0.318
0.112 0.112 0.196
0.368 0.936 0.682
0.369 0.369 0.919
0.631 0.631 0.081
0.632 0.064 0.318
0.888 0.888 0.804
0.936 0.368 0.682
0.500 0.500 0.500
0.286 0.286 0.495
0.714 0.714 0.505

TbPrMgCo (PBE, relaxed); symmetry = F-43m (216); formation enthalpy at 0 K = 0.057 eV per atom; uncorrected energy = -71.528 eV for the cell shown
1.0
7.271 0.000 0.000
0.000 7.271 0.000
0.000 0.000 7.271
Tb Pr Mg Co
4 4 4 4
direct
0.000 0.000 0.000
0.000 0.500 0.500
0.500 0.000 0.500
0.500 0.500 0.000
0.000 0.000 0.500
0.000 0.500 0.000
0.500 0.000 0.000
0.500 0.500 0.500
0.250 0.250 0.750
0.250 0.750 0.250
0.750 0.250 0.250
0.750 0.750 0.750
0.250 0.250 0.250
0.250 0.750 0.750
0.750 0.250 0.750
0.750 0.750 0.250

PrYMgCo (PBE, relaxed); symmetry = F-43m (216); formation enthalpy at 0 K = 0.049 eV per atom; uncorrected energy = -78.994 eV for the cell shown
1.0
7.270 0.000 0.000
0.000 7.270 0.000
0.000 0.000 7.270
Pr Y Mg Co
4 4 4 4
direct
0.000 0.000 0.000
0.000 0.500 0.500
0.500 0.000 0.500
0.500 0.500 0.000
0.000 0.000 0.500
0.000 0.500 0.000
0.500 0.000 0.000
0.500 0.500 0.500
0.250 0.250 0.750
0.250 0.750 0.250
0.750 0.250 0.250
0.750 0.750 0.750
0.250 0.250 0.250
0.250 0.750 0.750
0.750 0.250 0.750
0.750 0.750 0.250

MgCo2Pt2 (PBE, relaxed); symmetry = P4/mbm (127); formation enthalpy at 0 K = -0.183 eV per atom; uncorrected energy = -57.605 eV for the cell shown; energy above the lowest structure with this stoichiometry = 0.00 kJ per mole of atoms
1.0
7.293 0.000 0.000
0.000 7.293 0.000
0.000 0.000 2.778
Mg Co Pt
2 4 4
direct
0.000 0.000 0.000
0.500 0.500 0.000
0.114 0.386 0.000
0.386 0.886 0.000
0.614 0.114 0.000
0.886 0.614 0.000
0.181 0.681 0.500
0.319 0.181 0.500
0.681 0.819 0.500
0.819 0.319 0.500

Mg2CoPt (PBE, relaxed); symmetry = P4/mmm (123); formation enthalpy at 0 K = -0.342 eV per atom; uncorrected energy = -17.702 eV for the cell shown
1.0
4.126 0.000 0.000
0.000 4.126 0.000
0.000 0.000 3.559
Mg Co Pt
2 1 1
direct
0.000 0.500 0.000
0.500 0.000 0.000
0.000 0.000 0.500
0.500 0.500 0.500

Mg2CoPt2 (PBE, relaxed); symmetry = P4/mbm (127); formation enthalpy at 0 K = -0.250 eV per atom; uncorrected energy = -47.248 eV for the cell shown
1.0
7.501 0.000 0.000
0.000 7.501 0.000
0.000 0.000 2.862
Mg Co Pt
4 2 4
direct
0.136 0.364 0.000
0.364 0.864 0.000
0.636 0.136 0.000
0.864 0.636 0.000
0.000 0.000 0.000
0.500 0.500 0.000
0.163 0.663 0.500
0.337 0.163 0.500
0.663 0.837 0.500
0.837 0.337 0.500

MgCoPt (PBE, relaxed); symmetry = Imm2 (44); formation enthalpy at 0 K = -0.240 eV per atom; uncorrected energy = -30.924 eV for the cell shown
1.0
2.793 0.000 0.000
0.000 3.833 0.000
0.000 0.000 8.155
Mg Co Pt
2 2 2
direct
0.000 0.000 0.000
0.500 0.500 0.500
0.000 0.000 0.328
0.500 0.500 0.828
0.000 0.000 0.670
0.500 0.500 0.170

Mg2Co2Pt (PBE, relaxed); symmetry = P4/mbm (127); formation enthalpy at 0 K = -0.120 eV per atom; uncorrected energy = -48.087 eV for the cell shown
1.0
6.233 0.000 0.000
0.000 6.233 0.000
0.000 0.000 3.963
Mg Co Pt
4 4 2
direct
0.179 0.321 0.000
0.321 0.821 0.000
0.679 0.179 0.000
0.821 0.679 0.000
0.121 0.621 0.500
0.379 0.121 0.500
0.621 0.879 0.500
0.879 0.379 0.500
0.000 0.000 0.500
0.500 0.500 0.500

Q: Which of these has the lowest formation enthalpy at 0 K?
A: Mg2CoPt

Q: uncorrected energy of number 11 (MgCoPt)?
A: -30.924 eV for the cell shown

Q: Which of these has the highest formation enthalpy at 0 K?
A: TbPrMgCo